(1)
The following is a DFT calculation (PBE) of a geometry-optimized LiIrF2 structure.

The structure belongs to space group R-3m (No. 166, hexagonal axes); the cell edges are 2.7570, 2.7570 and 18.9722 Å and the angles 90.00°, 90.00° and 120.00°. Symmetry generates all atoms from Li at (0.0000, 0.0000, 0.0000), Ir at (0.0000, 0.0000, 0.5000) and F at (0.0000, 0.0000, 0.3927).

The calculation puts the energy above the lowest structure with this stoichiometry at 0.00 eV/f.u. The value obtained for the energy is -64.8 eV/cell.

---

(2)
The following is a DFT calculation (PBE) of a geometry-optimized LaSm2Os structure.

The structure belongs to space group Cmcm (No. 63); the cell edges are 4.027, 12.464 and 9.437 Å and the angles 90.00°, 90.00° and 90.00°. Symmetry generates all atoms from La at (0.000, 0.081, 0.250), Sm at (0.000, 0.353, 0.071) and Os at (0.000, 0.258, 0.750).

The calculation puts the energy above the lowest structure with this stoichiometry at 0.08 eV/f.u. For the formation energy, the calculation gives -139 meV/atom. The value obtained for the energy is -104.6 eV/cell.

---

(3)
The following is a DFT calculation (PBE) of a geometry-optimized Nd2Tm2Mg structure.

The structure belongs to space group I4/mmm (No. 139); the cell edges are 4.379, 4.379 and 17.680 Å and the angles 90.00°, 90.00° and 90.00°. Symmetry generates all atoms from Nd at (0.000, 0.000, 0.093), Tm at (0.000, 0.500, 0.250) and Mg at (0.000, 0.000, 0.500).

The calculation puts the energy above the lowest structure with this stoichiometry at 1.71 eV/f.u. For the formation energy, the calculation gives 339 meV/atom. The value obtained for the energy is -36.8 eV/cell.

---

(4)
The following is a DFT calculation (PBE) of a geometry-optimized Mg4As3 structure.

The structure belongs to space group P6/mmm (No. 191); the cell edges are 5.7003, 5.7003 and 5.3006 Å and the angles 90.00°, 90.00° and 120.00°. Symmetry generates all atoms from Mg at (0.0000, 0.0000, 0.2485), Mg at (0.3333, 0.6667, 0.5000) and As at (0.0000, 0.5000, 0.0000).

For the formation energy, the calculation gives -7 meV/atom. The value obtained for the energy is -20.4 eV/cell.

---

The highest energy belongs to which entry? Mg4As3

---

What is the energy in the first record? -64.8 eV/cell

---

Which of these has the highest energy? Mg4As3